## SrHPd3 (PBE-GGA)

Data for a relaxed structure of SrHPd3.

Polymorph energy (0 for the lowest one) = 1782.1 meV/atom
Electronic total energy = -13.6 eV for the cell shown

Geometry as CIF:
```
data_SrHPd3
_cell_length_a 5.3455
_cell_length_b 5.3455
_cell_length_c 5.3455
_cell_angle_alpha 90.00
_cell_angle_beta 90.00
_cell_angle_gamma 90.00
_symmetry_space_group_name_H-M 'P m -3 m'
_symmetry_Int_Tables_number 221
_symmetry_space_group_name_Hall '-P 4 2 3'
loop_
_atom_site_label
_atom_site_type_symbol
_atom_site_fract_x
_atom_site_fract_y
_atom_site_fract_z
Sr1 Sr 0.0000 0.0000 0.0000
H1 H 0.5000 0.5000 0.5000
Pd1 Pd 0.0000 0.0000 0.5000
```